{
  "formula": "Nd2Mg3Co2",
  "functional": "PBE",
  "state": "optimized geometry",
  "dft_energy_ev_per_atom": -4.146,
  "total_magnetization_mub_per_atom": 0.131,
  "dos_at_fermi_per_ev_cell": 4.89,
  "formation_enthalpy_0k_ev_per_atom": -0.070,
  "lattice": [[4.248, 0.000, 0.000], [-2.124, 5.179, 0.019], [0.000, -1.170, 7.017]],
  "species": ["Co", "Co", "Nd", "Nd", "Mg", "Mg", "Mg"],
  "fractional_positions": [[0.928, 0.857, 0.363], [0.072, 0.143, 0.637], [0.372, 0.744, 0.638], [0.628, 0.256, 0.362], [0.000, 0.000, 0.000], [0.680, 0.359, 0.857], [0.320, 0.641, 0.143]]
}


{
  "formula": "Nd8MgCo2",
  "functional": "PBE",
  "state": "optimized geometry",
  "dft_energy_ev_per_atom": -4.869,
  "total_magnetization_mub_per_atom": 0.000,
  "dos_at_fermi_per_ev_cell": 14.65,
  "formation_enthalpy_0k_ev_per_atom": 0.036,
  "lattice": [[5.629, 0.000, 0.000], [-0.926, 8.128, -0.380], [-0.926, -3.481, 7.354]],
  "species": ["Nd", "Nd", "Nd", "Nd", "Nd", "Nd", "Nd", "Nd", "Co", "Co", "Mg"],
  "fractional_positions": [[0.060, 0.337, 0.079], [0.060, 0.079, 0.337], [0.296, 0.597, 0.597], [0.704, 0.403, 0.403], [0.940, 0.921, 0.663], [0.940, 0.663, 0.921], [0.500, 0.253, 0.747], [0.500, 0.747, 0.253], [0.000, 0.293, 0.707], [0.000, 0.707, 0.293], [0.500, 0.000, 0.000]]
}


{
  "formula": "NdMgCo",
  "functional": "PBE",
  "state": "optimized geometry",
  "dft_energy_ev_per_atom": -4.583,
  "total_magnetization_mub_per_atom": 0.186,
  "dos_at_fermi_per_ev_cell": 5.12,
  "formation_enthalpy_0k_ev_per_atom": -0.094,
  "lattice": [[-0.366, -3.746, -1.053], [1.986, -1.134, 3.344], [-6.522, -1.042, 5.975]],
  "species": ["Mg", "Mg", "Nd", "Nd", "Co", "Co"],
  "fractional_positions": [[0.750, 0.703, 0.594], [0.250, 0.297, 0.406], [0.250, 0.091, 0.818], [0.750, 0.909, 0.182], [0.750, 0.535, 0.931], [0.250, 0.465, 0.069]]
}


{
  "formula": "Nd12MgCo5",
  "functional": "PBE",
  "state": "optimized geometry",
  "dft_energy_ev_per_atom": -5.313,
  "total_magnetization_mub_per_atom": 0.000,
  "dos_at_fermi_per_ev_cell": 17.60,
  "formation_enthalpy_0k_ev_per_atom": -0.072,
  "lattice": [[8.067, 0.104, -3.051], [-4.157, 7.088, -2.622], [0.020, -0.104, 8.625]],
  "species": ["Nd", "Nd", "Nd", "Nd", "Nd", "Nd", "Nd", "Nd", "Nd", "Nd", "Nd", "Nd", "Co", "Co", "Co", "Co", "Co", "Mg"],
  "fractional_positions": [[0.115, 0.817, 0.298], [0.192, 0.995, 0.803], [0.481, 0.183, 0.298], [0.885, 0.183, 0.702], [0.308, 0.685, 0.993], [0.692, 0.315, 0.007], [0.308, 0.315, 0.623], [0.692, 0.685, 0.377], [0.519, 0.817, 0.702], [0.192, 0.389, 0.197], [0.808, 0.005, 0.197], [0.808, 0.611, 0.803], [0.619, 0.619, 0.000], [0.500, 0.888, 0.388], [0.381, 0.381, 0.000], [0.000, 0.000, 0.000], [0.500, 0.112, 0.612], [0.000, 0.500, 0.500]]
}